Compound: UCuH8Pt2
Source: Alexandria
Functional: PBE-GGA
Structure: optimized geometry

## Properties
VASP energy	-4.49	eV/atom

a b c (Å): 4.8425 4.8425 6.1838
angles (deg): 90.00 90.00 120.00
With the nearest neighbours (Å) after each atom.
Fractional positions:
U: 0.0000 0.0000 0.5000  6 H 2.41
Cu: 0.0000 0.0000 0.0000  6 H 1.72
H: 0.8415 0.1585 0.1755  1 Cu 1.72, 1 Pt 1.79
H: 0.8415 0.6829 0.1755  1 Cu 1.72, 1 Pt 1.79
H: 0.3171 0.1585 0.1755  1 Cu 1.72, 1 Pt 1.79
H: 0.6829 0.8415 0.8245  1 Cu 1.72, 1 Pt 1.79
H: 0.3333 0.6667 0.3937  1 Pt 1.64
H: 0.6667 0.3333 0.6063  1 Pt 1.64
H: 0.1585 0.8415 0.8245  1 Cu 1.72, 1 Pt 1.79
H: 0.1585 0.3171 0.8245  1 Cu 1.72, 1 Pt 1.79
Pt: 0.6667 0.3333 0.3406  4 H 1.64-1.79
Pt: 0.3333 0.6667 0.6594  4 H 1.64-1.79